# NaTa4O8 (meta-GGA SCAN, single point on PBEsol structure)
data_NaTa4O8
_symmetry_space_group_name_H-M 'P m m n'
_symmetry_Int_Tables_number 59
_cell_length_a 7.1163
_cell_length_b 10.2729
_cell_length_c 12.8681
_cell_angle_alpha 90.00
_cell_angle_beta 90.00
_cell_angle_gamma 90.00
loop_
_symmetry_equiv_pos_as_xyz
'x,y,z'
'-x,-y,-z'
'-x+1/2,-y+1/2,z'
'x+1/2,y+1/2,-z'
'x+1/2,-y,-z'
'-x+1/2,y,z'
'-x,y+1/2,-z'
'x,-y+1/2,z'
loop_
_atom_site_label
_atom_site_type_symbol
_atom_site_fract_x
_atom_site_fract_y
_atom_site_fract_z
Na1 Na 0.2500 0.2500 0.0056
Na2 Na 0.2500 0.2500 0.2405
Na3 Na 0.2500 0.2500 0.5243
Ta1 Ta 0.0180 0.5320 0.1260
Ta2 Ta 0.0194 0.5309 0.6252
Ta3 Ta 0.2500 0.7500 0.0228
Ta4 Ta 0.2500 0.7500 0.2294
Ta5 Ta 0.2500 0.7500 0.5221
Ta6 Ta 0.2500 0.7500 0.7272
O1 O 0.0573 0.6151 0.7652
O2 O 0.0584 0.6141 0.4848
O3 O 0.0580 0.6147 0.9859
O4 O 0.0623 0.6118 0.2655
O5 O 0.2500 0.0703 0.6247
O6 O 0.2500 0.0733 0.1239
O7 O 0.2500 0.0783 0.8776
O8 O 0.2500 0.0860 0.3764
# D(E_F)	2.14	states/eV/f.u.
# E_form (uncorrected)	-2.798	eV/atom



# Cs3Fe2F9 (meta-GGA SCAN, single point on PBEsol structure)
data_Cs3Fe2F9
_symmetry_space_group_name_H-M 'P 63/m m c'
_symmetry_Int_Tables_number 194
_symmetry_space_group_name_Hall '-P 6c 2c'
_cell_length_a 6.2639
_cell_length_b 6.2639
_cell_length_c 14.6560
_cell_angle_alpha 90.00
_cell_angle_beta 90.00
_cell_angle_gamma 120.00
loop_
_atom_site_label
_atom_site_type_symbol
_atom_site_fract_x
_atom_site_fract_y
_atom_site_fract_z
Cs1 Cs 0.3333 0.6667 0.0707
Cs2 Cs 0.3333 0.6667 0.7500
Fe1 Fe 0.0000 0.0000 0.1508
F1 F 0.1357 0.2715 0.2500
F2 F 0.1527 0.3055 0.5924
# D(E_F)	0.00	states/eV/f.u.
# E_form (uncorrected)	-2.829	eV/atom



# Nb2IrPb2 (meta-GGA SCAN, single point on PBEsol structure)
data_Nb2IrPb2
_symmetry_space_group_name_H-M 'I 4/m m m'
_symmetry_Int_Tables_number 139
_symmetry_space_group_name_Hall '-I 4 2'
_cell_length_a 3.6039
_cell_length_b 3.6039
_cell_length_c 16.4156
_cell_angle_alpha 90.00
_cell_angle_beta 90.00
_cell_angle_gamma 90.00
loop_
_atom_site_label
_atom_site_type_symbol
_atom_site_fract_x
_atom_site_fract_y
_atom_site_fract_z
Nb1 Nb 0.0000 0.5000 0.2500
Ir1 Ir 0.0000 0.0000 0.0000
Pb1 Pb 0.0000 0.0000 0.4058
# D(E_F)	3.66	states/eV/f.u.
# calculated formation energy	0.89	eV per atom



# La2HgSb (meta-GGA SCAN, single point on PBEsol structure)
data_La2HgSb
_symmetry_space_group_name_H-M 'P 4/m m m'
_symmetry_Int_Tables_number 123
_symmetry_space_group_name_Hall '-P 4 2'
_cell_length_a 5.2374
_cell_length_b 5.2374
_cell_length_c 4.1506
_cell_angle_alpha 90.00
_cell_angle_beta 90.00
_cell_angle_gamma 90.00
loop_
_atom_site_label
_atom_site_type_symbol
_atom_site_fract_x
_atom_site_fract_y
_atom_site_fract_z
La1 La 0.0000 0.5000 0.0000
Hg1 Hg 0.0000 0.0000 0.5000
Sb1 Sb 0.5000 0.5000 0.5000
# D(E_F)	3.06	states/eV/f.u.
# E_form (uncorrected)	-0.943	eV/atom
# excess energy over the best structure of this formula in the dataset	52	meV/atom



# La2IrRu (meta-GGA SCAN, single point on PBEsol structure)
data_La2IrRu
_symmetry_space_group_name_H-M 'I m m 2'
_symmetry_Int_Tables_number 44
_symmetry_space_group_name_Hall 'I 2 -2'
_cell_length_a 3.2609
_cell_length_b 4.6314
_cell_length_c 11.7074
_cell_angle_alpha 90.00
_cell_angle_beta 90.00
_cell_angle_gamma 90.00
loop_
_atom_site_label
_atom_site_type_symbol
_atom_site_fract_x
_atom_site_fract_y
_atom_site_fract_z
La1 La 0.0000 0.0000 0.0000
La2 La 0.0000 0.5000 0.2130
Ir1 Ir 0.0000 0.0000 0.4394
Ru1 Ru 0.0000 0.5000 0.7635
# D(E_F)	2.28	states/eV/f.u.
# calculated formation energy	-0.30	eV per atom



# Sr3SiW (meta-GGA SCAN, single point on PBEsol structure)
data_Sr3SiW
_symmetry_space_group_name_H-M 'P m -3 m'
_symmetry_Int_Tables_number 221
_symmetry_space_group_name_Hall '-P 4 2 3'
_cell_length_a 5.8973
_cell_length_b 5.8973
_cell_length_c 5.8973
_cell_angle_alpha 90.00
_cell_angle_beta 90.00
_cell_angle_gamma 90.00
loop_
_atom_site_label
_atom_site_type_symbol
_atom_site_fract_x
_atom_site_fract_y
_atom_site_fract_z
Sr1 Sr 0.0000 0.0000 0.5000
Si1 Si 0.0000 0.0000 0.0000
W1 W 0.5000 0.5000 0.5000
# D(E_F)	4.53	states/eV/f.u.
# E_form (uncorrected)	1.063	eV/atom



| no. | total moment (μB per formula unit) |
| --- | --- |
| 1 | 0.00 |
| 2 | 10.00 |
| 3 | 0.00 |
| 4 | 0.00 |
| 5 | 0.00 |
| 6 | 5.97 |